[1]
Computed, not measured: a geometry-optimized KAg2Pb structure at the GGA-PBE level of DFT.

SG ... R-3m
DOS(E_F) ... 2.16 states/eV/f.u.
M_tot ... 0.00 μB per cell
Crystal system ... trigonal

POSCAR file:
```
KAg2Pb
1.0
10.848 0.055 0.032
10.299 3.406 0.032
10.299 1.686 2.960
Ag K Pb
2 1 1
direct
0.006 0.006 0.006
0.494 0.494 0.494
0.250 0.250 0.250
0.750 0.750 0.750
```



[2]
Computed, not measured: a geometry-optimized KAg2Pb structure at the GGA-PBE level of DFT.

SG ... I-4m2
DOS(E_F) ... 1.71 states/eV/f.u.
M_tot ... 0.00 μB per cell
Crystal system ... tetragonal

POSCAR file:
```
KAg2Pb
1.0
5.789 -0.022 0.000
2.031 5.421 0.000
-3.910 -2.700 3.307
K Ag Pb
1 2 1
direct
0.500 0.500 0.000
0.000 0.000 0.000
0.250 0.750 0.500
0.750 0.250 0.500
```



[3]
Computed, not measured: a geometry-optimized KAgPb2 structure at the GGA-PBE level of DFT.

SG ... Pnma
DOS(E_F) ... 0.96 states/eV/f.u.
M_tot ... 0.00 μB per cell
Crystal system ... orthorhombic

POSCAR file:
```
KAgPb2
1.0
-2.670 -1.528 -5.732
0.155 -8.025 2.067
-16.762 1.579 7.387
Pb K Ag
16 8 8
direct
0.530 0.057 0.715
0.258 0.446 0.464
0.742 0.554 0.536
0.242 0.446 0.964
0.970 0.057 0.215
0.242 0.054 0.964
0.758 0.554 0.036
0.758 0.946 0.036
0.970 0.443 0.215
0.470 0.557 0.285
0.258 0.054 0.464
0.030 0.943 0.785
0.030 0.557 0.785
0.470 0.943 0.285
0.530 0.443 0.715
0.742 0.946 0.536
0.480 0.250 0.142
0.246 0.750 0.608
0.254 0.750 0.108
0.754 0.250 0.392
0.020 0.250 0.642
0.980 0.750 0.358
0.520 0.750 0.858
0.746 0.250 0.892
0.266 0.250 0.826
0.499 0.250 0.574
0.234 0.250 0.326
0.501 0.750 0.426
0.766 0.750 0.674
0.001 0.250 0.074
0.999 0.750 0.926
0.734 0.750 0.174
```



[4]
Computed, not measured: a geometry-optimized KAgPb2 structure at the GGA-PBE level of DFT.

SG ... Immm
DOS(E_F) ... 1.49 states/eV/f.u.
M_tot ... 0.00 μB per cell
Crystal system ... orthorhombic

POSCAR file:
```
KAgPb2
1.0
6.743 -0.005 -0.001
3.157 5.958 0.001
-4.071 -4.439 3.032
Pb K Ag
2 1 1
direct
0.539 0.539 0.000
0.961 0.961 0.000
0.250 0.750 0.500
0.750 0.250 0.500
```



[5]
Computed, not measured: a geometry-optimized KAg3Pb structure at the GGA-PBE level of DFT.

SG ... Pm-3m
DOS(E_F) ... 0.07 states/eV/f.u.
M_tot ... 0.00 μB per cell
Energy relative to the lowest polymorph listed for this composition ... 0 meV/atom
Crystal system ... cubic

POSCAR file:
```
KAg3Pb
1.0
-4.306 2.629 -2.104
-1.656 -4.628 -2.393
-2.932 -1.247 4.442
Pb Ag K
1 3 1
direct
0.000 0.000 0.000
0.000 0.500 0.000
0.500 0.000 0.000
0.000 0.000 0.500
0.500 0.500 0.500
```



[6]
Computed, not measured: a geometry-optimized KAg2Pb structure at the GGA-PBE level of DFT.

SG ... P4mm
DOS(E_F) ... 1.33 states/eV/f.u.
M_tot ... 0.00 μB per cell
Crystal system ... tetragonal

POSCAR file:
```
KAg2Pb
1.0
-0.722 -0.277 3.540
2.324 -2.767 0.257
6.175 5.342 1.678
Pb K Ag
1 1 2
direct
0.500 0.500 0.816
0.000 0.000 0.477
0.000 0.000 0.026
0.500 0.500 0.181
```



[7]
Computed, not measured: a geometry-optimized KAg2Pb2 structure at the GGA-PBE level of DFT.

SG ... I4/mmm
DOS(E_F) ... 2.37 states/eV/f.u.
M_tot ... 0.00 μB per cell
Energy relative to the lowest polymorph listed for this composition ... 7 meV/atom
Crystal system ... tetragonal

POSCAR file:
```
KAg2Pb2
1.0
-1.751 -4.132 -2.244
3.192 -2.803 2.670
-3.414 -4.061 4.533
Ag K Pb
2 1 2
direct
0.750 0.250 0.500
0.250 0.750 0.500
0.000 0.000 0.000
0.631 0.631 0.738
0.369 0.369 0.262
```



[8]
Computed, not measured: a geometry-optimized KAg2Pb structure at the GGA-PBE level of DFT.

SG ... Cm
DOS(E_F) ... 2.32 states/eV/f.u.
M_tot ... 0.00 μB per cell
Crystal system ... monoclinic

POSCAR file:
```
KAg2Pb
1.0
-0.231 2.031 -6.208
2.152 -0.319 -6.163
-3.096 -3.205 -3.484
Pb Ag K
1 2 1
direct
0.285 0.285 0.214
0.710 0.710 0.787
0.008 0.008 0.994
0.497 0.497 0.505
```



[9]
Computed, not measured: a geometry-optimized KAg2Pb structure at the GGA-PBE level of DFT.

SG ... P2_1/m
DOS(E_F) ... 2.00 states/eV/f.u.
M_tot ... 0.00 μB per cell
Crystal system ... monoclinic

POSCAR file:
```
KAg2Pb
1.0
-3.492 1.131 -3.314
2.175 -6.509 -0.808
-5.655 -2.522 5.097
Pb K Ag
2 2 4
direct
0.152 0.305 0.750
0.848 0.695 0.250
0.560 0.117 0.250
0.440 0.883 0.750
0.264 0.528 0.077
0.264 0.528 0.423
0.736 0.472 0.923
0.736 0.472 0.577
```



[10]
Computed, not measured: a geometry-optimized K3Ag2Pb4 structure at the GGA-PBE level of DFT.

SG ... P-1
DOS(E_F) ... 3.31 states/eV/f.u.
M_tot ... 0.00 μB per cell
Crystal system ... triclinic

POSCAR file:
```
K3Ag2Pb4
1.0
4.820 0.000 0.003
2.407 6.711 0.577
2.412 3.421 10.311
Pb Ag K
4 2 3
direct
0.080 0.485 0.353
0.920 0.515 0.647
0.713 0.660 0.911
0.287 0.340 0.089
0.342 0.527 0.789
0.658 0.473 0.211
0.369 0.871 0.392
0.631 0.129 0.608
0.000 0.000 0.000
```



[11]
Computed, not measured: a geometry-optimized K8AgPb2 structure at the GGA-PBE level of DFT.

SG ... C2/m
DOS(E_F) ... 8.08 states/eV/f.u.
M_tot ... 1.06 μB per cell
Crystal system ... monoclinic

POSCAR file:
```
K8AgPb2
1.0
-1.324 4.774 3.718
-6.891 -3.978 2.654
9.575 -4.611 4.170
K Ag Pb
8 1 2
direct
0.402 0.246 0.805
0.334 0.626 0.668
0.212 0.125 0.423
0.598 0.754 0.195
0.666 0.374 0.332
0.788 0.875 0.577
0.016 0.263 0.031
0.984 0.737 0.969
0.500 0.000 0.000
0.167 0.653 0.334
0.833 0.347 0.666
```



[12]
Computed, not measured: a geometry-optimized KAgPb2 structure at the GGA-PBE level of DFT.

SG ... R3m
DOS(E_F) ... 1.22 states/eV/f.u.
M_tot ... 0.00 μB per cell
Crystal system ... trigonal

POSCAR file:
```
KAgPb2
1.0
4.969 0.000 0.000
2.484 4.303 0.000
2.484 1.434 6.421
Ag Pb K
1 2 1
direct
0.674 0.674 0.978
0.045 0.045 0.866
0.286 0.286 0.143
0.495 0.495 0.514
```



[13]
Computed, not measured: a geometry-optimized K3Ag3Pb8 structure at the GGA-PBE level of DFT.

SG ... Immm
DOS(E_F) ... 5.72 states/eV/f.u.
M_tot ... 0.00 μB per cell
Crystal system ... orthorhombic

POSCAR file:
```
K3Ag3Pb8
1.0
5.169 0.000 0.000
2.585 9.202 -0.272
2.585 2.244 8.929
Pb Ag K
8 3 3
direct
0.120 0.230 0.529
0.646 0.663 0.046
0.354 0.954 0.337
0.880 0.770 0.471
0.646 0.046 0.663
0.354 0.337 0.954
0.880 0.471 0.770
0.120 0.529 0.230
0.000 0.126 0.874
0.500 0.000 0.000
0.000 0.874 0.126
0.500 0.500 0.500
0.774 0.226 0.226
0.226 0.774 0.774
```



[14]
Computed, not measured: a geometry-optimized KAgPb2 structure at the GGA-PBE level of DFT.

SG ... I-42d
DOS(E_F) ... 2.55 states/eV/f.u.
M_tot ... 0.00 μB per cell
Crystal system ... tetragonal

POSCAR file:
```
KAgPb2
1.0
5.019 0.000 0.000
0.000 5.019 0.000
2.510 2.510 10.834
Pb Ag K
4 2 2
direct
0.875 0.946 0.750
0.696 0.125 0.250
0.375 0.304 0.750
0.054 0.625 0.250
0.750 0.250 0.500
0.000 0.000 0.000
0.500 0.500 0.000
0.250 0.750 0.500
```



[15]
Computed, not measured: a geometry-optimized KAg3Pb structure at the GGA-PBE level of DFT.

SG ... Pm-3m
DOS(E_F) ... 2.63 states/eV/f.u.
M_tot ... 0.00 μB per cell
Energy relative to the lowest polymorph listed for this composition ... 780 meV/atom
Crystal system ... cubic

POSCAR file:
```
KAg3Pb
1.0
-0.476 -4.468 -3.171
5.368 0.257 -1.167
1.096 -3.196 4.339
Pb Ag K
1 3 1
direct
0.500 0.500 0.500
0.500 0.000 0.000
0.000 0.500 0.000
0.000 0.000 0.500
0.000 0.000 0.000
```



[16]
Computed, not measured: a geometry-optimized KAg2Pb2 structure at the GGA-PBE level of DFT.

SG ... P4/mbm
DOS(E_F) ... 1.69 states/eV/f.u.
M_tot ... 0.00 μB per cell
Energy relative to the lowest polymorph listed for this composition ... 7 meV/atom
Crystal system ... tetragonal

POSCAR file:
```
KAg2Pb2
1.0
-5.175 7.068 2.524
-7.150 -5.575 0.954
0.823 -0.518 3.138
Ag Pb K
4 4 2
direct
0.357 0.857 0.000
0.643 0.143 0.000
0.857 0.643 0.000
0.143 0.357 0.000
0.148 0.648 0.500
0.352 0.148 0.500
0.852 0.352 0.500
0.648 0.852 0.500
0.000 0.000 0.000
0.500 0.500 0.000
```



[17]
Computed, not measured: a geometry-optimized KAgPb structure at the GGA-PBE level of DFT.

SG ... P-1
DOS(E_F) ... 0.49 states/eV/f.u.
M_tot ... 0.00 μB per cell
Crystal system ... triclinic

POSCAR file:
```
KAgPb
1.0
-1.042 1.425 3.221
-3.375 -5.754 1.454
8.385 -0.648 0.906
Pb K Ag
2 2 2
direct
0.336 0.948 0.436
0.543 0.156 0.853
0.617 0.730 0.000
0.260 0.374 0.289
0.939 0.767 0.644
0.939 0.337 0.644
```



[18]
Computed, not measured: a geometry-optimized K3Ag4Pb structure at the GGA-PBE level of DFT.

SG ... Imm2
DOS(E_F) ... 3.91 states/eV/f.u.
M_tot ... 0.00 μB per cell
Crystal system ... orthorhombic

POSCAR file:
```
K3Ag4Pb
1.0
6.049 0.000 3.152
3.369 6.269 0.914
0.138 -0.902 7.117
Ag K Pb
4 3 1
direct
0.686 0.080 0.547
0.314 0.453 0.920
0.200 0.705 0.295
0.800 0.705 0.295
0.241 0.178 0.340
0.000 0.053 0.947
0.759 0.660 0.822
0.500 0.516 0.484
```



[19]
Computed, not measured: a geometry-optimized KAgPb2 structure at the GGA-PBE level of DFT.

SG ... Fm-3m
DOS(E_F) ... 0.42 states/eV/f.u.
M_tot ... 0.00 μB per cell
Crystal system ... cubic

POSCAR file:
```
KAgPb2
1.0
0.000 3.838 3.838
3.838 0.000 3.838
3.838 3.838 0.000
K Pb Ag
1 2 1
direct
0.000 0.000 0.000
0.250 0.250 0.250
0.750 0.750 0.750
0.500 0.500 0.500
```



[20]
Computed, not measured: a geometry-optimized KAgPb structure at the GGA-PBE level of DFT.

SG ... P3m1
DOS(E_F) ... 1.92 states/eV/f.u.
M_tot ... 0.00 μB per cell
Crystal system ... trigonal

POSCAR file:
```
KAgPb
1.0
5.376 0.000 0.000
-2.688 4.655 0.000
0.000 0.000 3.493
K Pb Ag
1 1 1
direct
0.667 0.333 0.333
0.333 0.667 0.833
0.000 0.000 0.834
```



no.,formation enthalpy at 0 K (meV per atom),total energy (eV per formula unit)
1,246,-9.52
2,182,-9.78
3,-101,-11.77
4,-37,-11.52
5,196,-12.38
6,51,-10.30
7,8,-14.18
8,90,-10.15
9,-17,-10.58
10,-75,-24.50
11,-46,-19.56
12,-77,-11.67
13,-54,-42.26
14,146,-10.78
15,976,-8.48
16,8,-14.18
17,-14,-7.70
18,10,-18.33
19,90,-11.01
20,8,-7.63